Material: Dy2TlWO8
Method: DFT, PBE with a Hubbard U
State: optimized geometry Values from VASP.

Values from the calculation:
Density of states at the Fermi level = 8.4 states/eV/f.u.
Uncorrected energy = -7.11 eV/atom
Symmetry = Cmmm

```
&SYSTEM
  ibrav = 0, nat = 12, ntyp = 4
/
ATOMIC_SPECIES
Dy 162.50 Dy.upf
Tl 204.38 Tl.upf
W 183.84 W.upf
O 16.00 O.upf
ATOMIC_POSITIONS angstrom
Dy 0.000 0.000 1.769
Dy 0.000 0.000 5.336
Tl 3.434 0.000 3.553
W 3.434 0.000 0.000
O 1.373 0.000 3.553
O 1.479 0.000 0.000
O 3.434 1.344 1.412
O 3.434 1.344 5.693
O 3.434 -1.344 1.412
O 3.434 -1.344 5.693
O 5.389 0.000 0.000
O 5.494 0.000 3.553
CELL_PARAMETERS angstrom
3.434 -3.589 0.000
3.434 3.589 0.000
0.000 0.000 7.105
```